[1]
Pm3InHg5, relaxed, DFT PBE; magnetization = 0.000 μB per cell; N(E_F) = 0.55 states/eV per atom; final energy = -2.516 eV/atom
1.0
-2.131 -6.050 -1.061
0.083 -1.605 8.981
-7.506 3.340 -3.969
Hg Pm In
10 6 2
Direct
0.750 0.329 0.000 Hg
0.250 0.000 0.671 Hg
0.750 0.000 0.329 Hg
0.250 0.671 0.000 Hg
0.750 0.671 0.671 Hg
0.500 0.667 0.333 Hg
0.000 0.667 0.333 Hg
0.500 0.333 0.667 Hg
0.000 0.333 0.667 Hg
0.250 0.329 0.329 Hg
0.750 0.000 0.662 Pm
0.250 0.000 0.338 Pm
0.250 0.338 0.000 Pm
0.750 0.338 0.338 Pm
0.250 0.662 0.662 Pm
0.750 0.662 0.000 Pm
0.000 0.000 0.000 In
0.500 0.000 0.000 In



[2]
Ce2PbF8, relaxed, DFT PBE; magnetization = 2.000 μB per cell; N(E_F) = 1.48 states/eV per atom; final energy = -6.308 eV/atom; energy relative to the elements, uncorrected = -81.4 kcal/mol of atoms
1.0
4.463 -0.293 -0.363
-0.715 5.944 -2.773
-0.325 0.290 6.584
Pb F Ce
1 8 2
Direct
0.864 0.018 0.018 Pb
0.465 0.952 0.676 F
0.785 0.614 0.614 F
0.011 0.767 0.262 F
0.465 0.676 0.952 F
0.596 0.327 0.056 F
0.206 0.366 0.366 F
0.596 0.056 0.327 F
0.011 0.262 0.767 F
0.501 0.321 0.675 Ce
0.501 0.675 0.321 Ce



[3]
Cd4AsI3, relaxed, DFT PBE; magnetization = 0.000 μB per cell; final energy = -1.911 eV/atom; energy relative to the elements, uncorrected = -6.7 kcal/mol of atoms
1.0
-4.333 5.985 1.431
1.603 -1.171 9.753
7.311 5.424 -0.551
Cd I As
8 6 2
Direct
0.187 0.874 0.500 Cd
0.838 0.928 0.500 Cd
0.069 0.353 0.782 Cd
0.338 0.072 0.000 Cd
0.687 0.126 0.000 Cd
0.069 0.353 0.218 Cd
0.569 0.647 0.282 Cd
0.569 0.647 0.718 Cd
0.920 0.253 0.500 I
0.455 0.373 0.735 I
0.955 0.627 0.765 I
0.955 0.627 0.235 I
0.420 0.747 0.000 I
0.455 0.373 0.265 I
0.023 0.186 0.000 As
0.523 0.814 0.500 As